## A
A plane-wave DFT calculation with PBE-GGA was carried out for a relaxed LiC3Br crystal.

Cell: 4.127 4.127 4.127 Å, 90.00 90.00 90.00°
Space group Pm-3m (No. 221)
Asymmetric unit:
Li 0.000 0.000 0.000 (multiplicity 1)
C 0.000 0.500 0.500 (multiplicity 3)
Br 0.500 0.500 0.500 (multiplicity 1)

Values from the calculation:
calculated volume = 70.3 Å³/cell
D(E_F) = 0.521 states/eV per atom

***

## B
A plane-wave DFT calculation with PBE-GGA was carried out for a relaxed LiC3Br crystal.

Cell: 3.931 3.931 3.931 Å, 90.00 90.00 90.00°
Space group Pm-3m (No. 221)
Asymmetric unit:
Li 0.000 0.000 0.000 (multiplicity 1)
C 0.000 0.000 0.500 (multiplicity 3)
Br 0.500 0.500 0.500 (multiplicity 1)

Values from the calculation:
calculated volume = 60.7 Å³/cell
D(E_F) = 0.759 states/eV per atom

***

Energy relative to the most stable one, in meV per atom: A 62; B 0